Entry 1:
Below is an optimized crystal structure of Y8Al2In, with properties calculated at the PBE level.

```
11
Lattice="4.437 -7.079 0.000 4.437 7.079 0.000 -1.924 0.000 5.164" Properties=species:S:1:pos:R:3 pbc="T T T"
Y 0.673 1.727 3.121
Y 4.437 3.880 0.000
Y 0.673 -1.727 3.121
Y 3.118 0.000 1.027
Y 3.832 0.000 4.136
Y 6.277 1.727 2.043
Y 4.437 -3.880 0.000
Y 6.277 -1.727 2.043
Al 3.475 2.744 2.582
Al 3.475 -2.744 2.582
In 0.000 0.000 0.000
```

Output
The calculation puts the formation energy at -147 meV per atom. The final energy is -5.777 eV per atom.

***

Entry 2:
Below is an optimized crystal structure of La6CuHg2, with properties calculated at the PBE level.

```
18
Lattice="6.557 0.000 0.000 0.000 8.186 0.000 -6.409 0.000 10.758" Properties=species:S:1:pos:R:3 pbc="T T T"
La -2.325 1.289 4.942
La -5.530 2.804 10.321
La -0.719 5.760 4.865
La -3.924 6.519 10.244
La 0.917 0.290 2.775
La -2.287 3.803 8.155
La 2.435 4.383 2.604
La -0.770 7.896 7.983
La 4.071 1.667 0.514
La 0.866 2.426 5.893
La 5.677 5.382 0.437
La 2.472 6.897 5.816
Cu 0.000 0.000 0.000
Cu -3.205 4.093 5.379
Hg -3.867 0.932 8.203
Hg -0.662 3.161 2.824
Hg 0.810 5.025 7.934
Hg 4.014 7.254 2.555
```

Output
The calculation puts the formation energy at -185 meV per atom. The energy above the lowest structure with this stoichiometry comes out at 78 meV/atom. The final energy is -3.992 eV per atom.

***

Entry 3:
Below is an optimized crystal structure of Ba2Hg6BiPb, with properties calculated at the PBE level.

```
10
Lattice="0.000 5.823 5.823 5.823 0.000 5.823 5.823 5.823 0.000" Properties=species:S:1:pos:R:3 pbc="T T T"
Ba 2.912 2.912 2.912
Ba 8.735 8.735 8.735
Hg 5.823 5.823 2.903
Hg 5.823 2.903 5.823
Hg 8.744 5.823 5.823
Hg 2.903 5.823 5.823
Hg 5.823 8.744 5.823
Hg 5.823 5.823 8.744
Bi 5.823 5.823 5.823
Pb 0.000 0.000 0.000
```

Output
The calculation puts the formation energy at -59 meV per atom. The final energy is -1.384 eV per atom.

***

Short version: V = 29.49 32.08 39.50 Å³/atom, in the order given.